{"formula": "PmDy3Ga2", "functional": "PBE", "state": "optimized geometry", "magnetic_moment_mub_per_fu": 0.002, "de_polymorph_ev_per_atom": 0.085, "dos_at_fermi_per_ev_cell": 10.30, "space_group": "No. 12", "formation_energy_ev_per_atom": -0.332, "lattice_angstrom": [[-0.5292, 4.1368, 2.9382], [-8.1990, -4.1107, -0.1180], [6.8422, -2.6636, 4.9825]], "species": ["Pm", "Pm", "Dy", "Dy", "Dy", "Dy", "Dy", "Dy", "Ga", "Ga", "Ga", "Ga"], "frac_coords": [[0.8709, 0.7418, 0.9309], [0.1291, 0.2582, 0.0691], [0.3122, 0.6245, 0.6178], [0.9367, 0.8734, 0.5901], [0.6219, 0.2437, 0.7331], [0.3781, 0.7563, 0.2669], [0.0633, 0.1266, 0.4099], [0.6878, 0.3755, 0.3822], [0.5125, 0.0250, 0.8751], [0.4875, 0.9750, 0.1249], [0.7741, 0.5482, 0.1615], [0.2259, 0.4518, 0.8385]]}

***

{"formula": "LiPuCo4", "functional": "PBE", "state": "optimized geometry", "magnetic_moment_mub_per_fu": 0.667, "dos_at_fermi_per_ev_cell": 6.72, "space_group": "No. 216", "formation_energy_ev_per_atom": -0.070, "lattice_angstrom": [[4.8648, 0.0000, 0.0000], [2.4324, 4.2131, 0.0000], [2.4324, 1.4044, 3.9721]], "species": ["Li", "Co", "Co", "Co", "Co", "Pu"], "frac_coords": [[0.0000, 0.0000, 0.0000], [0.6259, 0.6259, 0.1224], [0.6259, 0.1224, 0.6259], [0.6259, 0.6259, 0.6259], [0.1224, 0.6259, 0.6259], [0.2500, 0.2500, 0.2500]]}

***

{"formula": "CsErSb2Au2", "functional": "PBE", "state": "optimized geometry", "magnetic_moment_mub_per_fu": 0.000, "dos_at_fermi_per_ev_cell": 1.73, "space_group": "No. 164", "formation_energy_uncorrected_ev_per_atom": -0.688, "lattice_angstrom": [[4.6785, 0.0000, 0.0000], [-2.3393, 4.0517, 0.0000], [0.0000, 0.0000, 9.8207]], "species": ["Cs", "Er", "Sb", "Sb", "Au", "Au"], "frac_coords": [[0.0000, 0.0000, 0.0000], [0.0000, 0.0000, 0.5000], [0.6667, 0.3333, 0.2895], [0.3333, 0.6667, 0.7105], [0.6667, 0.3333, 0.6534], [0.3333, 0.6667, 0.3466]]}

***

{"formula": "MgTePd", "functional": "PBE", "state": "optimized geometry", "magnetic_moment_mub_per_fu": 0.000, "dos_at_fermi_per_ev_cell": 2.07, "space_group": "No. 129", "formation_energy_uncorrected_ev_per_atom": -0.249, "lattice_angstrom": [[5.2806, 0.0000, 0.0000], [0.0000, 5.2806, 0.0000], [0.0000, 0.0000, 5.2969]], "species": ["Mg", "Mg", "Te", "Te", "Pd", "Pd"], "frac_coords": [[0.0000, 0.5000, 0.8618], [0.5000, 0.0000, 0.1382], [0.0000, 0.0000, 0.5000], [0.5000, 0.5000, 0.5000], [0.0000, 0.5000, 0.3504], [0.5000, 0.0000, 0.6496]]}

***

{"formula": "CsRuN2F", "functional": "PBE", "state": "optimized geometry", "magnetic_moment_mub_per_fu": 4.502, "de_polymorph_ev_per_atom": 2.502, "dos_at_fermi_per_ev_cell": 4.89, "space_group": "No. 123", "formation_energy_uncorrected_ev_per_atom": 2.406, "lattice_angstrom": [[4.4153, 0.0000, 0.0000], [0.0000, 4.4153, 0.0000], [0.0000, 0.0000, 4.9439]], "species": ["Cs", "Ru", "N", "N", "F"], "frac_coords": [[0.0000, 0.0000, 0.0000], [0.5000, 0.5000, 0.5000], [0.0000, 0.5000, 0.0000], [0.5000, 0.0000, 0.0000], [0.0000, 0.0000, 0.5000]]}

***

{"formula": "Dy2TmMg9", "functional": "PBE", "state": "optimized geometry", "magnetic_moment_mub_per_fu": 0.000, "dos_at_fermi_per_ev_cell": 9.89, "space_group": "No. 123", "formation_energy_ev_per_atom": -0.054, "lattice_angstrom": [[-1.3241, -4.4504, 0.3619], [1.7869, -0.8741, -4.2111], [12.2464, -3.1676, 5.8540]], "species": ["Dy", "Dy", "Tm", "Mg", "Mg", "Mg", "Mg", "Mg", "Mg", "Mg", "Mg", "Mg"], "frac_coords": [[0.0000, 0.0000, 0.3325], [0.0000, 0.0000, 0.6675], [0.0000, 0.0000, 0.0000], [0.5000, 0.5000, 0.0000], [0.5000, 0.5000, 0.3328], [0.5000, 0.5000, 0.6672], [0.5000, 0.0000, 0.1653], [0.5000, 0.0000, 0.5000], [0.5000, 0.0000, 0.8347], [0.0000, 0.5000, 0.1653], [0.0000, 0.5000, 0.5000], [0.0000, 0.5000, 0.8347]]}